This record from OQMD via LeMat-Bulk describes RbHg3GeS4 after structural relaxation. The functional is PBE.

The structure in POSCAR format:
```
RbHg3GeS4
1.0
-1.2545 2.8295 5.8868
-4.2116 -4.9322 1.4731
4.9923 -3.4499 2.7220
S Ge Hg Rb
4 1 3 1
direct
0.7161 0.7161 0.2839
0.7161 0.2839 0.7161
0.2839 0.2839 0.2839
0.2839 0.7161 0.7161
0.5000 0.5000 0.5000
0.5000 0.5000 0.0000
0.0000 0.5000 0.5000
0.5000 0.0000 0.5000
0.0000 0.0000 0.0000
```

Output
As for the symmetry: No. 215. For the offset from the most stable computed form, the calculation gives 0.110 eV per atom.



This record from OQMD via LeMat-Bulk describes RbHg3GeTe4 after structural relaxation. The functional is PBE.

The structure in POSCAR format:
```
RbHg3GeTe4
1.0
7.1734 0.0000 0.0000
0.0000 8.3267 0.0000
-0.5167 0.0000 11.4849
Te Ge Hg Rb
8 2 6 2
direct
0.3717 0.0046 0.7700
0.1432 0.2500 0.0691
0.2274 0.2500 0.4410
0.6283 0.9954 0.2300
0.3717 0.4954 0.7700
0.8568 0.7500 0.9309
0.6283 0.5046 0.2300
0.7726 0.7500 0.5590
0.5929 0.7500 0.7558
0.4071 0.2500 0.2442
0.0934 0.7500 0.7177
0.2882 0.9190 0.0382
0.7118 0.4190 0.9618
0.7118 0.0810 0.9618
0.2882 0.5810 0.0382
0.9066 0.2500 0.2823
0.7325 0.2500 0.6002
0.2675 0.7500 0.3998
```

Output
As for the symmetry: No. 11. For the offset from the most stable computed form, the calculation gives 0.000 eV per atom.



This record from OQMD via LeMat-Bulk describes RbHg3GeTe4 after structural relaxation. The functional is PBE.

The structure in POSCAR format:
```
RbHg3GeTe4
1.0
7.2787 0.0000 0.0000
0.0000 7.2787 0.0000
0.0000 0.0000 7.2787
Hg Te Rb Ge
3 4 1 1
direct
0.5000 0.0000 0.0000
0.0000 0.5000 0.0000
0.0000 0.0000 0.5000
0.2205 0.7795 0.2205
0.2205 0.2205 0.7795
0.7795 0.2205 0.2205
0.7795 0.7795 0.7795
0.5000 0.5000 0.5000
0.0000 0.0000 0.0000
```

Output
As for the symmetry: No. 215. For the offset from the most stable computed form, the calculation gives 0.047 eV per atom.



This record from OQMD via LeMat-Bulk describes ReHgGe after structural relaxation. The functional is PBE.

The structure in POSCAR format:
```
ReHgGe
1.0
3.4434 -1.5757 2.2235
2.7820 2.7589 1.9832
0.0872 0.2564 4.3830
Hg Re Ge
1 1 1
direct
0.7500 0.7500 0.7500
0.0000 0.0000 0.0000
0.2500 0.2500 0.2500
```

Output
As for the symmetry: No. 216. As for the magnetic moment: 0.48 μB/cell. For the offset from the most stable computed form, the calculation gives 0.000 eV per atom.



This record from OQMD via LeMat-Bulk describes ReHgGe after structural relaxation. The functional is PBE.

The structure in POSCAR format:
```
ReHgGe
1.0
0.4314 -0.2333 4.2815
-3.4355 0.5425 2.5446
-1.6394 -3.3551 2.1512
Re Ge Hg
1 1 1
direct
0.7500 0.7500 0.7500
0.0000 0.0000 0.0000
0.2500 0.2500 0.2500
```

Output
As for the symmetry: No. 216. As for the magnetic moment: 0.05 μB/cell. For the offset from the most stable computed form, the calculation gives 0.065 eV per atom.



This record from OQMD via LeMat-Bulk describes Hg3GeS4 after structural relaxation. The functional is PBE.

The structure in POSCAR format:
```
Hg3GeS4
1.0
-2.4449 4.9646 4.8022
0.9608 6.6815 -2.8497
-3.1426 -6.0208 -2.7496
Hg S Ge
3 4 1
direct
0.5000 0.5000 0.0000
0.7500 0.2500 0.5000
0.2500 0.7500 0.5000
0.1250 0.1250 0.4989
0.3739 0.8750 0.0000
0.6261 0.6261 0.5011
0.8750 0.3739 0.0000
0.0000 0.0000 0.0000
```

Output
As for the symmetry: No. 121. The uncorrected energy is -2.842 eV per atom.